VASP calculation (GGA-PBE) on a relaxed structure of K2Cr2Ni.

ΔH_f (0 K) = 33.8 kcal/mol of atoms
ρ = 2.8 g/cm³
N(E_F) = 15.71 states/eV per cell
offset from the most stable computed form = 0 meV per atom
SG = P4/mbm (127)

Cell: 9.8939 9.8939 2.8807 Å, 90.00 90.00 90.00°
Closest atoms and distances in Å follow each position.
Fractional coordinates of all 10 atoms:
K 0.2186 0.2814 0.0000  2 K 2.88
K 0.2814 0.7814 0.0000  2 K 2.88
K 0.7186 0.2186 0.0000  2 K 2.88
K 0.7814 0.7186 0.0000  2 K 2.88
Cr 0.0626 0.5626 0.5000  1 Cr 1.75
Cr 0.4374 0.0626 0.5000  1 Cr 1.75
Cr 0.5626 0.9374 0.5000  1 Cr 1.75
Cr 0.9374 0.4374 0.5000  1 Cr 1.75
Ni 0.0000 0.0000 0.5000  2 Ni 2.88
Ni 0.5000 0.5000 0.5000  2 Ni 2.88